# GGA-PBE GaPbAu, optimized geometry
# - formation energy from the elements (eV per atom) = -0.091
# - crystal system = monoclinic
# - calculated volume (Å³/atom) = 23.043
# - energy (eV per atom) = -3.4281
data_GaPbAu
_chemical_formula_sum 'Ga2 Pb2 Au2'
_cell_length_a 4.088
_cell_length_b 5.689
_cell_length_c 6.259
_cell_angle_alpha 90.00
_cell_angle_beta 108.22
_cell_angle_gamma 90.00
_space_group_name_H-M_alt 'P 1 21/m 1'
_space_group_IT_number 11
loop_
_space_group_symop_operation_xyz
'x,y,z'
'-x,-y,-z'
'-x,y+1/2,-z'
'x,-y+1/2,z'
loop_
_atom_site_label
_atom_site_type_symbol
_atom_site_fract_x
_atom_site_fract_y
_atom_site_fract_z
Ga1 Ga 0.000 0.000 0.000
Pb1 Pb 0.293 0.250 0.597
Au1 Au 0.404 0.750 0.803

# GGA-PBE GaPbAu, optimized geometry
# - formation energy from the elements (eV per atom) = -0.076
# - crystal system = triclinic
# - calculated volume (Å³/atom) = 22.856
# - energy (eV per atom) = -3.4134
data_GaPbAu
_chemical_formula_sum 'Ga2 Pb2 Au2'
_cell_length_a 3.498
_cell_length_b 4.909
_cell_length_c 8.507
_cell_angle_alpha 73.45
_cell_angle_beta 78.65
_cell_angle_gamma 89.24
_space_group_name_H-M_alt 'P 1'
_space_group_IT_number 1
loop_
_space_group_symop_operation_xyz
'x,y,z'
loop_
_atom_site_label
_atom_site_type_symbol
_atom_site_fract_x
_atom_site_fract_y
_atom_site_fract_z
Ga1 Ga 0.000 0.000 0.000
Ga2 Ga 0.497 0.434 0.998
Pb1 Pb 0.187 0.503 0.631
Pb2 Pb 0.817 0.136 0.368
Au1 Au 0.380 0.689 0.239
Au2 Au 0.622 0.929 0.760

# GGA-PBE Ga2Pb5Au5, optimized geometry
# - formation energy from the elements (eV per atom) = -0.082
# - crystal system = monoclinic
# - calculated volume (Å³/atom) = 25.642
# - energy (eV per atom) = -3.4973
data_Ga2Pb5Au5
_chemical_formula_sum 'Ga4 Pb10 Au10'
_cell_length_a 14.318
_cell_length_b 3.888
_cell_length_c 11.563
_cell_angle_alpha 90.00
_cell_angle_beta 107.07
_cell_angle_gamma 90.00
_space_group_name_H-M_alt 'C 1 2/m 1'
_space_group_IT_number 12
loop_
_space_group_symop_operation_xyz
'x,y,z'
'-x,-y,-z'
'-x,y,-z'
'x,-y,z'
'x+1/2,y+1/2,z'
'-x+1/2,-y+1/2,-z'
'-x+1/2,y+1/2,-z'
'x+1/2,-y+1/2,z'
loop_
_atom_site_label
_atom_site_type_symbol
_atom_site_fract_x
_atom_site_fract_y
_atom_site_fract_z
Ga1 Ga 0.044 0.000 0.296
Pb1 Pb 0.000 0.500 0.000
Pb2 Pb 0.165 0.500 0.553
Pb3 Pb 0.239 0.000 0.133
Au1 Au 0.000 0.000 0.500
Au2 Au 0.108 0.000 0.884
Au3 Au 0.165 0.500 0.289

# GGA-PBE GaPbAu3, optimized geometry
# - formation energy from the elements (eV per atom) = 0.525
# - crystal system = cubic
# - calculated volume (Å³/atom) = 31.021
# - energy (eV per atom) = -2.7889
# - energy relative to the lowest polymorph listed for this composition (eV/atom) = 0.619
data_GaPbAu3
_chemical_formula_sum 'Ga1 Pb1 Au3'
_cell_length_a 5.373
_cell_length_b 5.373
_cell_length_c 5.373
_cell_angle_alpha 90.00
_cell_angle_beta 90.00
_cell_angle_gamma 90.00
_space_group_name_H-M_alt 'P m -3 m'
_space_group_IT_number 221
_space_group_name_Hall '-P 4 2 3'
loop_
_atom_site_label
_atom_site_type_symbol
_atom_site_fract_x
_atom_site_fract_y
_atom_site_fract_z
Ga1 Ga 0.000 0.000 0.000
Pb1 Pb 0.500 0.500 0.500
Au1 Au 0.000 0.500 0.500

# GGA-PBE Ga5Pb2Au12, optimized geometry
# - formation energy from the elements (eV per atom) = -0.107
# - crystal system = monoclinic
# - calculated volume (Å³/atom) = 20.037
# - energy (eV per atom) = -3.3638
data_Ga5Pb2Au12
_chemical_formula_sum 'Ga10 Pb4 Au24'
_cell_length_a 17.689
_cell_length_b 7.320
_cell_length_c 6.051
_cell_angle_alpha 90.00
_cell_angle_beta 103.66
_cell_angle_gamma 90.00
_space_group_name_H-M_alt 'C 1 2/m 1'
_space_group_IT_number 12
loop_
_space_group_symop_operation_xyz
'x,y,z'
'-x,-y,-z'
'-x,y,-z'
'x,-y,z'
'x+1/2,y+1/2,z'
'-x+1/2,-y+1/2,-z'
'-x+1/2,y+1/2,-z'
'x+1/2,-y+1/2,z'
loop_
_atom_site_label
_atom_site_type_symbol
_atom_site_fract_x
_atom_site_fract_y
_atom_site_fract_z
Ga1 Ga 0.000 0.000 0.000
Ga2 Ga 0.162 0.000 0.369
Ga3 Ga 0.181 0.500 0.924
Pb1 Pb 0.000 0.263 0.500
Au1 Au 0.083 0.295 0.089
Au2 Au 0.116 0.000 0.770
Au3 Au 0.144 0.500 0.488
Au4 Au 0.247 0.223 0.743

# GGA-PBE GaPbAu, optimized geometry
# - formation energy from the elements (eV per atom) = -0.077
# - crystal system = triclinic
# - calculated volume (Å³/atom) = 23.666
# - energy (eV per atom) = -3.4142
data_GaPbAu
_chemical_formula_sum 'Ga2 Pb2 Au2'
_cell_length_a 3.741
_cell_length_b 5.999
_cell_length_c 6.330
_cell_angle_alpha 88.40
_cell_angle_beta 89.95
_cell_angle_gamma 89.89
_space_group_name_H-M_alt 'P -1'
_space_group_IT_number 2
loop_
_space_group_symop_operation_xyz
'x,y,z'
'-x,-y,-z'
loop_
_atom_site_label
_atom_site_type_symbol
_atom_site_fract_x
_atom_site_fract_y
_atom_site_fract_z
Ga1 Ga 0.249 0.340 0.077
Pb1 Pb 0.250 0.733 0.421
Au1 Au 0.251 0.974 0.822

# GGA-PBE GaPbAu3, optimized geometry
# - formation energy from the elements (eV per atom) = -0.095
# - crystal system = orthorhombic
# - calculated volume (Å³/atom) = 21.102
# - energy (eV per atom) = -3.4084
# - energy relative to the lowest polymorph listed for this composition (eV/atom) = 0.000
data_GaPbAu3
_chemical_formula_sum 'Ga4 Pb4 Au12'
_cell_length_a 8.947
_cell_length_b 4.213
_cell_length_c 11.195
_cell_angle_alpha 90.00
_cell_angle_beta 90.00
_cell_angle_gamma 90.00
_space_group_name_H-M_alt 'P n m a'
_space_group_IT_number 62
loop_
_space_group_symop_operation_xyz
'x,y,z'
'-x,-y,-z'
'-x+1/2,-y,z+1/2'
'x+1/2,y,-z+1/2'
'x+1/2,-y+1/2,-z+1/2'
'-x+1/2,y+1/2,z+1/2'
'-x,y+1/2,-z'
'x,-y+1/2,z'
loop_
_atom_site_label
_atom_site_type_symbol
_atom_site_fract_x
_atom_site_fract_y
_atom_site_fract_z
Ga1 Ga 0.115 0.250 0.138
Pb1 Pb 0.170 0.250 0.485
Au1 Au 0.065 0.250 0.907
Au2 Au 0.100 0.750 0.693
Au3 Au 0.162 0.750 0.281

# GGA-PBE GaPb2Au2, optimized geometry
# - formation energy from the elements (eV per atom) = -0.044
# - crystal system = tetragonal
# - calculated volume (Å³/atom) = 24.204
# - energy (eV per atom) = -3.4436
# - energy relative to the lowest polymorph listed for this composition (eV/atom) = 0.049
data_GaPb2Au2
_chemical_formula_sum 'Ga2 Pb4 Au4'
_cell_length_a 7.004
_cell_length_b 7.004
_cell_length_c 4.934
_cell_angle_alpha 90.00
_cell_angle_beta 90.00
_cell_angle_gamma 90.00
_space_group_name_H-M_alt 'P 4/m b m'
_space_group_IT_number 127
_space_group_name_Hall '-P 4 2ab'
loop_
_atom_site_label
_atom_site_type_symbol
_atom_site_fract_x
_atom_site_fract_y
_atom_site_fract_z
Ga1 Ga 0.000 0.000 0.000
Pb1 Pb 0.174 0.326 0.500
Au1 Au 0.145 0.645 0.000

# GGA-PBE Ga3PdPb2Au12, optimized geometry
# - formation energy from the elements (eV per atom) = 0.089
# - crystal system = trigonal
# - calculated volume (Å³/atom) = 22.703
# - energy (eV per atom) = -3.3007
data_Ga3PdPb2Au12
_chemical_formula_sum 'Ga9 Pd3 Pb6 Au36'
_cell_length_a 8.6648
_cell_length_b 8.6648
_cell_length_c 18.8556
_cell_angle_alpha 90.00
_cell_angle_beta 90.00
_cell_angle_gamma 120.00
_space_group_name_H-M_alt 'R -3 m'
_space_group_IT_number 166
_space_group_name_Hall '-R 3 2"'
loop_
_atom_site_label
_atom_site_type_symbol
_atom_site_fract_x
_atom_site_fract_y
_atom_site_fract_z
Ga1 Ga 0.0000 0.5000 0.0000
Pd1 Pd 0.0000 0.0000 0.5000
Pb1 Pb 0.0000 0.0000 0.1119
Au1 Au 0.0103 0.5052 0.3759
Au2 Au 0.0166 0.5083 0.8652

# GGA-PBE PuGaPbAu, optimized geometry
# - formation energy from the elements (eV per atom) = -0.221
# - crystal system = cubic
# - calculated volume (Å³/atom) = 23.395
# - energy (eV per atom) = -6.3073
data_PuGaPbAu
_chemical_formula_sum 'Pu4 Ga4 Pb4 Au4'
_cell_length_a 7.207
_cell_length_b 7.207
_cell_length_c 7.207
_cell_angle_alpha 90.00
_cell_angle_beta 90.00
_cell_angle_gamma 90.00
_space_group_name_H-M_alt 'F -4 3 m'
_space_group_IT_number 216
_space_group_name_Hall 'F -4 2 3'
loop_
_atom_site_label
_atom_site_type_symbol
_atom_site_fract_x
_atom_site_fract_y
_atom_site_fract_z
Pu1 Pu 0.000 0.000 0.000
Ga1 Ga 0.250 0.250 0.750
Pb1 Pb 0.000 0.000 0.500
Au1 Au 0.250 0.250 0.250